Computed, not measured: crystalline CaDy3Rh8 at its relaxed geometry at the PBE level of DFT.

Structure (POSCAR):
```
CaDy3Rh8
1.0
-3.6306 -3.5437 1.6444
0.2481 -5.0520 -1.6908
3.9437 -4.8976 6.8014
Ca Dy Rh
1 3 8
Direct
0.8744 0.8744 0.3767
0.3753 0.3753 0.8740
0.9984 0.9984 0.0047
0.5018 0.5018 0.4947
0.9394 0.4376 0.1853
0.4356 0.9374 0.6896
0.4376 0.4376 0.1853
0.9374 0.9374 0.6896
0.1875 0.1875 0.4376
0.6875 0.6875 0.9376
0.4376 0.9394 0.1853
0.9374 0.4356 0.6896
```

Summary:
total moment	0.00	μB per formula unit
energy	-82.763	eV/cell